1.
The following is a DFT calculation (PBE-GGA) of a relaxed Nd2DyCuS5 crystal.

Lattice parameters (Å, degrees): 3.9196 8.6810 11.6482 90.00 90.00 103.05
Sites, in units of the cell vectors:
1 S 0.9570 0.9141 0.5591
2 S 0.7108 0.4216 0.1737
3 S 0.6430 0.2860 0.5019
4 S 0.6856 0.3713 0.8487
5 S 0.5014 0.0027 0.2789
6 S 0.4986 0.9973 0.7789
7 S 0.2892 0.5784 0.6737
8 S 0.3570 0.7140 0.0019
9 S 0.0430 0.0859 0.0590
10 S 0.3144 0.6287 0.3487
11 Cu 0.5579 0.1158 0.9544
12 Cu 0.4421 0.8842 0.4544
13 Nd 0.8916 0.7833 0.1861
14 Nd 0.1084 0.2167 0.6861
15 Nd 0.1217 0.2435 0.3108
16 Nd 0.8783 0.7565 0.8108
17 Dy 0.8051 0.6103 0.5103
18 Dy 0.1949 0.3897 0.0103

Results
Electronic total energy ... -6.072 eV/atom
Fermi-level density of states ... 0.05 states/eV/cell
Symmetry ... Cmc2_1 (36)

2.
The following is a DFT calculation (PBE-GGA) of a relaxed TmZr2Co crystal.

Lattice parameters (Å, degrees): 3.2707 3.2707 7.8313 90.00 90.00 90.00
Each line ends with the local moment (μB).
Sites, in units of the cell vectors:
1 Zr 0.0000 0.0000 0.1942  0.01
2 Zr 0.0000 0.0000 0.8058  0.01
3 Tm 0.5000 0.5000 0.5000  0.02
4 Co 0.5000 0.5000 0.0000  0.06

Results
Energy relative to the elements ... -0.017 eV per atom
Fermi-level density of states ... 7.94 states/eV/cell
Symmetry ... P4/mmm (123)